Record 1
Zr2PRh: optimized geometry, PBE.

Values from the calculation:
space-group type	P4/mmm
energy of formation from the pure elements	-77.3	kJ per mole of atoms
volume	19.5	A^3/atom
D(E_F)	0.602	states/eV per atom
E	-8.27	eV/atom

Unit cell a=3.7658 b=3.7658 c=5.4962 alpha=90.00 beta=90.00 gamma=90.00
Element x y z (fractional)
Zr (0.5000, 0.5000, 0.5000)
Zr (0.0000, 0.0000, 0.0000)
Rh (0.0000, 0.0000, 0.5000)
P (0.5000, 0.5000, 0.0000)

***

Record 2
ZrP3Rh: optimized geometry, PBE.

Values from the calculation:
space-group type	Pm-3m
energy of formation from the pure elements	29.6	kJ per mole of atoms
volume	19.1	A^3/atom
D(E_F)	0.640	states/eV per atom
E	-6.12	eV/atom
E above lowest polymorph	0	meV/atom

Unit cell a=4.5698 b=4.5698 c=4.5698 alpha=90.00 beta=90.00 gamma=90.00
Element x y z (fractional)
Zr (0.5000, 0.5000, 0.5000)
P (0.0000, 0.0000, 0.5000)
P (0.0000, 0.5000, 0.0000)
P (0.5000, 0.0000, 0.0000)
Rh (0.0000, 0.0000, 0.0000)

***

Record 3
Zr2PRh: optimized geometry, PBE.

Values from the calculation:
space-group type	Amm2
energy of formation from the pure elements	-99.7	kJ per mole of atoms
volume	17.9	A^3/atom
D(E_F)	0.686	states/eV per atom
E	-8.50	eV/atom

Unit cell a=3.8295 b=3.6130 c=5.4903 alpha=70.78 beta=90.00 gamma=90.00
Element x y z (fractional)
Rh (0.5000, 0.5522, 0.7713)
Zr (0.0000, 0.9696, 0.9361)
Zr (0.5000, 0.2702, 0.3340)
P (0.0000, 0.7080, 0.4585)

***

Record 4
Zr2PRh: optimized geometry, PBE.

Values from the calculation:
space-group type	I-42d
energy of formation from the pure elements	-52.9	kJ per mole of atoms
volume	18.9	A^3/atom
D(E_F)	0.689	states/eV per atom
E	-8.01	eV/atom

Unit cell a=7.1377 b=7.1377 c=5.8559 alpha=52.45 beta=52.45 gamma=90.00
Element x y z (fractional)
Zr (0.1308, 0.6250, 0.2500)
Zr (0.8750, 0.8692, 0.7500)
Zr (0.3750, 0.3808, 0.7500)
Zr (0.6192, 0.1250, 0.2500)
P (0.5000, 0.5000, 0.0000)
P (0.2500, 0.7500, 0.5000)
Rh (0.0000, 0.0000, 0.0000)
Rh (0.7500, 0.2500, 0.5000)

***

Please write out number 1 again, unchanged.
Zr2PRh: optimized geometry, PBE.

Values from the calculation:
space-group type	P4/mmm
energy of formation from the pure elements	-77.3	kJ per mole of atoms
volume	19.5	A^3/atom
D(E_F)	0.602	states/eV per atom
E	-8.27	eV/atom

Unit cell a=3.7658 b=3.7658 c=5.4962 alpha=90.00 beta=90.00 gamma=90.00
Element x y z (fractional)
Zr (0.5000, 0.5000, 0.5000)
Zr (0.0000, 0.0000, 0.0000)
Rh (0.0000, 0.0000, 0.5000)
P (0.5000, 0.5000, 0.0000)

***

What did the first record say?
Zr2PRh: optimized geometry, PBE.

Values from the calculation:
space-group type	P4/mmm
energy of formation from the pure elements	-77.3	kJ per mole of atoms
volume	19.5	A^3/atom
D(E_F)	0.602	states/eV per atom
E	-8.27	eV/atom

Unit cell a=3.7658 b=3.7658 c=5.4962 alpha=90.00 beta=90.00 gamma=90.00
Element x y z (fractional)
Zr (0.5000, 0.5000, 0.5000)
Zr (0.0000, 0.0000, 0.0000)
Rh (0.0000, 0.0000, 0.5000)
P (0.5000, 0.5000, 0.0000)

***

Q: Among the records above, which one has the highest E?
A: ZrP3Rh

***

Q: Which formula does entry 1 have?
A: Zr2PRh